# ScFe4Si2 (GGA-PBEsol, optimized geometry)
# E_form (uncorrected) = -53.2 kJ per mole of atoms
# crystal system = tetragonal
# V = 171 Å³ per cell
# Fermi-level density of states = 0.734 states/eV per atom
data_ScFe4Si2
_cell_length_a 6.7880
_cell_length_b 6.7880
_cell_length_c 3.7019
_cell_angle_alpha 90.00
_cell_angle_beta 90.00
_cell_angle_gamma 90.00
_space_group_name_H-M_alt 'P 42/m n m'
_space_group_IT_number 136
_space_group_name_Hall '-P 4n 2n'
loop_
_atom_site_label
_atom_site_fract_x
_atom_site_fract_y
_atom_site_fract_z
Sc1 0.0000 0.0000 0.0000
Fe1 0.0900 0.3539 0.5000
Si1 0.2168 0.7832 0.5000

***

# ScFe2Si (GGA-PBEsol, optimized geometry)
# E_form (uncorrected) = -22.9 kJ per mole of atoms
# crystal system = cubic
# V = 212 Å³ per cell
# Fermi-level density of states = 0.555 states/eV per atom
data_ScFe2Si
_cell_length_a 5.9607
_cell_length_b 5.9607
_cell_length_c 5.9607
_cell_angle_alpha 90.00
_cell_angle_beta 90.00
_cell_angle_gamma 90.00
_space_group_name_H-M_alt 'F -4 3 m'
_space_group_IT_number 216
_space_group_name_Hall 'F -4 2 3'
loop_
_atom_site_label
_atom_site_fract_x
_atom_site_fract_y
_atom_site_fract_z
Sc1 0.0000 0.0000 0.0000
Fe1 0.0000 0.0000 0.5000
Fe2 0.2500 0.2500 0.2500
Si1 0.2500 0.2500 0.7500

***

# Sc2Fe3Si (GGA-PBEsol, optimized geometry)
# E_form (uncorrected) = -52.5 kJ per mole of atoms
# crystal system = hexagonal
# V = 162 Å³ per cell
# Fermi-level density of states = 0.718 states/eV per atom
data_Sc2Fe3Si
_cell_length_a 4.9020
_cell_length_b 4.9020
_cell_length_c 7.7765
_cell_angle_alpha 90.00
_cell_angle_beta 90.00
_cell_angle_gamma 120.00
_space_group_name_H-M_alt 'P 63/m m c'
_space_group_IT_number 194
_space_group_name_Hall '-P 6c 2c'
loop_
_atom_site_label
_atom_site_fract_x
_atom_site_fract_y
_atom_site_fract_z
Sc1 0.3333 0.6667 0.0636
Fe1 0.1719 0.3437 0.7500
Si1 0.0000 0.0000 0.0000

***

# ScFe2Si2 (GGA-PBEsol, optimized geometry)
# E_form (uncorrected) = -73.8 kJ per mole of atoms
# crystal system = orthorhombic
# V = 253 Å³ per cell
# Fermi-level density of states = 0.160 states/eV per atom
data_ScFe2Si2
_cell_length_a 7.3621
_cell_length_b 6.9747
_cell_length_c 4.9257
_cell_angle_alpha 90.00
_cell_angle_beta 90.00
_cell_angle_gamma 90.00
_space_group_name_H-M_alt 'P b c m'
_space_group_IT_number 57
loop_
_space_group_symop_operation_xyz
'x,y,z'
'-x,-y,-z'
'-x,-y,z+1/2'
'x,y,-z+1/2'
'x,-y+1/2,-z'
'-x,y+1/2,z'
'-x,y+1/2,-z+1/2'
'x,-y+1/2,z+1/2'
loop_
_atom_site_label
_atom_site_fract_x
_atom_site_fract_y
_atom_site_fract_z
Sc1 0.2481 0.0927 0.2500
Fe1 0.1160 0.0112 0.7500
Fe2 0.3816 0.7500 0.0000
Si1 0.0489 0.7500 0.0000
Si2 0.4174 0.0505 0.7500